(1)
19
Lattice="7.5630 0.0000 0.0000 -3.7815 6.6642 0.7331 0.0000 -1.2971 6.4037" Properties=species:S:1:pos:R:3 comment="Ti2Sn5Pd12 PBE relaxed" delta_e_f_kcal_per_mol_atoms=-10.917 vol_a3_per_atom=17.4 total_energy_ry_per_atom=-0.414 crystal_system=monoclinic pbc="T T T"
Ti 5.9139 0.0000 0.0000
Ti 1.6491 0.0000 0.0000
Sn 0.0000 2.6004 3.9095
Sn 0.0000 4.3127 0.9130
Sn 0.0000 -0.6485 3.2019
Sn 3.7815 1.0545 6.2238
Sn 3.7815 2.7667 3.2273
Pd 0.0000 0.5538 5.7902
Pd -2.1932 3.1980 5.5175
Pd 2.1932 3.1980 5.5175
Pd -1.5527 4.7725 3.1374
Pd 1.5527 4.7725 3.1374
Pd 0.0000 5.0966 5.5707
Pd 3.7815 0.2706 1.5661
Pd 5.3342 0.5947 3.9994
Pd 2.2288 0.5947 3.9994
Pd 5.9747 2.1691 1.6193
Pd 1.5883 2.1691 1.6193
Pd 3.7815 4.8133 1.3466


(2)
20
Lattice="-3.4778 3.2283 0.3343 -4.0056 -3.6231 -6.6823 -3.0562 -4.0127 6.9557" Properties=species:S:1:pos:R:3 comment="Ti3SnPd6 PBE relaxed" delta_e_f_kcal_per_mol_atoms=-9.366 polymorph_energy_mev_per_atom=154 vol_a3_per_atom=16.9 total_energy_ry_per_atom=-0.462 crystal_system=orthorhombic pbc="T T T"
Ti -7.2323 -4.2491 -1.0369
Ti -8.7748 -2.7155 1.9522
Ti -3.7040 -3.5930 1.9468
Ti -5.6909 -1.8770 -1.4490
Ti -4.9767 1.3912 1.8051
Ti -3.4342 -0.1423 -1.1839
Sn -3.7026 -3.4851 4.9952
Sn -6.1112 -1.5961 -4.4572
Pd -4.6575 -4.6354 -0.5092
Pd -6.2994 -3.0611 1.0521
Pd -6.9020 -4.5678 3.2133
Pd -9.0373 -2.7910 -2.3140
Pd -4.5058 -3.1330 -5.9157
Pd -5.4267 -1.9429 3.5336
Pd -4.1324 -3.3747 -3.0201
Pd -5.3948 -1.8676 6.4620
Pd -2.9391 -0.2828 3.0599
Pd -5.0744 1.4941 -2.4674
Pd -2.8281 -2.6573 -0.5800
Pd -4.4700 -1.0829 0.9812


(3)
5
Lattice="4.7604 0.0000 0.0000 0.0000 4.7604 0.0000 0.0000 0.0000 4.7604" Properties=species:S:1:pos:R:3 comment="Ti3SnPd PBE relaxed" delta_e_f_kcal_per_mol_atoms=6.206 polymorph_energy_mev_per_atom=448 vol_a3_per_atom=21.6 total_energy_ry_per_atom=-0.464 crystal_system=cubic pbc="T T T"
Sn 2.3802 2.3802 2.3802
Pd 0.0000 0.0000 0.0000
Ti 0.0000 2.3802 0.0000
Ti 0.0000 0.0000 2.3802
Ti 2.3802 0.0000 0.0000